1.
A relaxed structure of CdTe2As, computed with PBE.

Its energy relative to the elements, uncorrected is 0.282 eV/atom. For the energy above the most stable polymorph in this dataset, the calculation gives 1.45 eV per formula unit.

The structure belongs to space group Cmmm (No. 65); the cell edges are 3.776, 5.511 and 10.187 Å and the angles 90.00°, 90.00° and 90.00°. Symmetry generates all atoms from Cd at (0.000, 0.000, 0.000), Te at (0.000, 0.500, 0.280) and As at (0.000, 0.000, 0.500).

2.
A relaxed structure of SrGdAs2, computed with PBE.

For the total energy, the calculation gives -7.450 eV/atom.

The structure belongs to space group R-3m (No. 166, hexagonal axes); the cell edges are 4.2888, 4.2888 and 21.5251 Å and the angles 90.00°, 90.00° and 120.00°. Symmetry generates all atoms from Sr at (0.0000, 0.0000, 0.0000), Gd at (0.0000, 0.0000, 0.5000) and As at (0.0000, 0.0000, 0.2411).

3.
A relaxed structure of LiAsPb2, computed with PBE.

For the total energy, the calculation gives -3.555 eV/atom.

The structure belongs to space group I-42d (No. 122); the cell edges are 8.220, 8.220 and 6.409 Å and the angles 90.00°, 90.00° and 90.00°. Symmetry generates all atoms from Li at (0.000, 0.000, 0.000), As at (0.000, 0.000, 0.500) and Pb at (0.227, 0.250, 0.625).

4.
A relaxed structure of Mg2TlIn, computed with PBE.

For the total energy, the calculation gives -2.099 eV/atom.

The structure belongs to space group Imm2 (No. 44); the cell edges are 3.699, 4.961 and 10.802 Å and the angles 90.00°, 90.00° and 90.00°. Symmetry generates all atoms from Mg at (0.000, 0.000, 0.000), Mg at (0.000, 0.500, 0.249), Tl at (0.000, 0.000, 0.500) and In at (0.000, 0.500, 0.746).

5.
A relaxed structure of TbSm2Dy2Y2, computed with PBE.

For the total energy, the calculation gives -5.034 eV/atom.

The structure belongs to space group R-3m (No. 166, hexagonal axes); the cell edges are 5.7013, 5.7013 and 24.5241 Å and the angles 90.00°, 90.00° and 120.00°. Symmetry generates all atoms from Tb at (0.0000, 0.0000, 0.0000), Sm at (0.0000, 0.0000, 0.2863), Dy at (0.0000, 0.0000, 0.4302) and Y at (0.0000, 0.0000, 0.1426).

6.
A relaxed structure of RbCr2H2, computed with PBE.

For the energy above the most stable polymorph in this dataset, the calculation gives 2.30 eV per formula unit.

The structure belongs to space group P4/mbm (No. 127); the cell edges are 8.076, 8.076 and 2.898 Å and the angles 90.00°, 90.00° and 90.00°. Symmetry generates all atoms from Rb at (0.000, 0.000, 0.000), Cr at (0.080, 0.420, 0.500) and H at (0.091, 0.591, 0.000).